# 1
The following is a PBE calculation of a relaxed structure of Sr2Sb3Pt3, from the Alexandria database.

a = 7.1023 Å, b = 7.1023 Å, c = 21.5088 Å
α = 90.00°, β = 90.00°, γ = 90.00°
With the nearest neighbours (Å) after each atom.
Positions (direct):
Sr 0.0000 0.0000 0.2409  1 Pt 2.69
Sr 0.0000 0.0000 0.7591  1 Pt 2.69
Sb 0.0000 0.0000 0.0000  2 Pt 2.49
Sb 0.0000 0.0000 0.3877  1 Pt 2.42
Sb 0.0000 0.0000 0.6123  1 Pt 2.42
Pt 0.0000 0.0000 0.1157  1 Sb 2.49, 1 Sr 2.69
Pt 0.0000 0.0000 0.5000  2 Sb 2.42
Pt 0.0000 0.0000 0.8843  1 Sb 2.49, 1 Sr 2.69

Computed properties:
DFT total energy, eV/cell: -24.8
Total magnetic moment, μB/f.u.: 1.4
SG: P4/mmm (123)
Raw formation energy, eV per atom: 1.1295



# 2
The following is a PBE calculation of a relaxed structure of Sr2SbPt2, from the Alexandria database.

a = 7.5092 Å, b = 7.5092 Å, c = 4.5318 Å
α = 90.00°, β = 90.00°, γ = 90.00°
With the nearest neighbours (Å) after each atom.
Positions (direct):
Sr 0.1748 0.3252 0.0000  6 Pt 3.07-3.24
Sr 0.3252 0.8252 0.0000  6 Pt 3.07-3.24
Sr 0.6748 0.1748 0.0000  6 Pt 3.07-3.24
Sr 0.8252 0.6748 0.0000  6 Pt 3.07-3.24
Sb 0.0000 0.0000 0.5000  4 Pt 2.94
Sb 0.5000 0.5000 0.5000  4 Pt 2.94
Pt 0.1303 0.6303 0.5000  1 Pt 2.77, 2 Sb 2.94, 2 Sr 3.07
Pt 0.3697 0.1303 0.5000  1 Pt 2.77, 2 Sb 2.94, 2 Sr 3.07
Pt 0.6303 0.8697 0.5000  1 Pt 2.77, 2 Sb 2.94, 2 Sr 3.07
Pt 0.8697 0.3697 0.5000  1 Pt 2.77, 2 Sb 2.94, 2 Sr 3.07

Computed properties:
DFT total energy, eV/cell: -46.9
Total magnetic moment, μB/f.u.: 0.0
SG: P4/mbm (127)
Raw formation energy, eV per atom: -0.7720
Energy relative to the lowest polymorph listed for this composition, meV/atom: 163



# 3
The following is a PBE calculation of a relaxed structure of SrSb2Pt, from the Alexandria database.

a = 7.2238 Å, b = 7.2238 Å, c = 7.2238 Å
α = 35.06°, β = 35.06°, γ = 35.06°
With the nearest neighbours (Å) after each atom.
Positions (direct):
Sr 0.0000 0.0000 0.0000  6 Sb 3.29-3.44, 1 Pt 3.54
Sb 0.2176 0.2176 0.2176  3 Pt 2.78
Sb 0.4377 0.4377 0.4377  3 Pt 2.75
Pt 0.8259 0.8259 0.8259  6 Sb 2.75-2.78

Computed properties:
DFT total energy, eV/cell: -18.6
Total magnetic moment, μB/f.u.: 0.0
SG: R3m (160)
Raw formation energy, eV per atom: -0.6613



Question: What is the DFT total energy in the third record?
Answer: -18.6 eV/cell



Question: The highest DFT total energy belongs to which entry?
Answer: SrSb2Pt